No. 1
# Sr2Li3SmSn3 | OQMD | PBE-GGA | optimized geometry
data_Sr2Li3SmSn3
_cell_length_a 4.9438
_cell_length_b 4.9438
_cell_length_c 11.5390
_cell_angle_alpha 90.00
_cell_angle_beta 90.00
_cell_angle_gamma 120.00
_space_group_name_H-M_alt 'P -6 m 2'
_space_group_IT_number 187
_space_group_name_Hall 'P -6 2'
loop_
_atom_site_label
_atom_site_type_symbol
_atom_site_fract_x
_atom_site_fract_y
_atom_site_fract_z
_atom_site_occupancy
Sr1 Sr 0.0000 0.0000 0.1654 1
Li1 Li 0.3333 0.6667 0.0000 1
Li2 Li 0.6667 0.3333 0.3250 1
Sm1 Sm 0.0000 0.0000 0.5000 1
Sn1 Sn 0.3333 0.6667 0.3643 1
Sn2 Sn 0.6667 0.3333 0.0000 1
# calculated volume	244	Å³/cell
# final energy	-31.1	eV per formula unit
# theoretical density	4.8	g/cm3

---

No. 2
# LaSmSO2 | OQMD | PBE-GGA | optimized geometry
data_LaSmSO2
_cell_length_a 3.9697
_cell_length_b 3.9697
_cell_length_c 6.8107
_cell_angle_alpha 90.00
_cell_angle_beta 90.00
_cell_angle_gamma 120.00
_space_group_name_H-M_alt 'P 3 m 1'
_space_group_IT_number 156
_space_group_name_Hall 'P 3 -2"'
loop_
_atom_site_label
_atom_site_type_symbol
_atom_site_fract_x
_atom_site_fract_y
_atom_site_fract_z
_atom_site_occupancy
La1 La 0.0000 0.0000 0.0000 1
Sm1 Sm 0.3333 0.6667 0.5599 1
S1 S 0.6667 0.3333 0.2852 1
O1 O 0.0000 0.0000 0.6438 1
O2 O 0.3333 0.6667 0.9023 1
# calculated volume	93	Å³/cell
# final energy	-39.4	eV per formula unit
# theoretical density	6.3	g/cm3

---

No. 3
# RbHoSO | OQMD | PBE-GGA | optimized geometry
data_RbHoSO
_cell_length_a 4.1478
_cell_length_b 4.1478
_cell_length_c 9.8445
_cell_angle_alpha 90.00
_cell_angle_beta 90.00
_cell_angle_gamma 90.00
_space_group_name_H-M_alt 'P 4/n m m'
_space_group_IT_number 129
loop_
_space_group_symop_operation_xyz
'x,y,z'
'-x,-y,-z'
'-y+1/2,x,z'
'y+1/2,-x,-z'
'-x+1/2,-y+1/2,z'
'x+1/2,y+1/2,-z'
'y,-x+1/2,z'
'-y,x+1/2,-z'
'x+1/2,-y,-z'
'-x+1/2,y,z'
'-y,-x,-z'
'y,x,z'
'-x,y+1/2,-z'
'x,-y+1/2,z'
'y+1/2,x+1/2,-z'
'-y+1/2,-x+1/2,z'
loop_
_atom_site_label
_atom_site_type_symbol
_atom_site_fract_x
_atom_site_fract_y
_atom_site_fract_z
_atom_site_occupancy
Rb1 Rb 0.2500 0.7500 0.0000 1
Ho1 Ho 0.2500 0.2500 0.4049 1
S1 S 0.2500 0.2500 0.7648 1
O1 O 0.2500 0.7500 0.5000 1
# calculated volume	169	Å³/cell
# final energy	-22.3	eV per formula unit
# theoretical density	5.9	g/cm3
# energy above the lowest structure with this stoichiometry	0.372	eV/atom

---

No. 4
# NdTaSi | OQMD | PBE-GGA | optimized geometry
data_NdTaSi
_cell_length_a 6.5302
_cell_length_b 6.5302
_cell_length_c 6.5302
_cell_angle_alpha 90.00
_cell_angle_beta 90.00
_cell_angle_gamma 90.00
_space_group_name_H-M_alt 'F -4 3 m'
_space_group_IT_number 216
_space_group_name_Hall 'F -4 2 3'
loop_
_atom_site_label
_atom_site_type_symbol
_atom_site_fract_x
_atom_site_fract_y
_atom_site_fract_z
_atom_site_occupancy
Nd1 Nd 0.0000 0.0000 0.0000 1
Ta1 Ta 0.0000 0.0000 0.5000 1
Si1 Si 0.2500 0.2500 0.2500 1
# calculated volume	278	Å³/cell
# final energy	-21.5	eV per formula unit
# theoretical density	8.4	g/cm3

---

> Which of these has the highest calculated volume?

NdTaSi